Below is a relaxed SiAg crystal, with properties calculated at the PBE level.

```
SiAg
1.0
4.197 0.000 0.000
-2.098 3.635 0.000
0.000 0.000 4.859
Ag Si
2 2
Cartesian
2.098 1.212 3.645
0.000 2.423 1.215
0.000 0.000 0.000
0.000 0.000 2.430
```

Below is a relaxed Si3Ag crystal, with properties calculated at the PBE level.

```
Si3Ag
1.0
-0.529 -1.953 -4.469
4.874 -0.051 -0.555
0.175 -4.500 1.946
Ag Si
1 3
Cartesian
0.000 0.000 0.000
0.087 -2.250 0.973
-0.265 -0.976 -2.235
2.437 -0.025 -0.278
```

Below is a relaxed SiAg2 crystal, with properties calculated at the PBE level.

```
SiAg2
1.0
1.465 5.524 -0.337
-1.465 5.524 -0.337
0.000 2.167 6.201
Ag Si
4 2
Cartesian
0.000 6.383 0.768
0.000 10.622 2.605
0.000 2.593 2.923
0.000 6.832 4.760
0.000 9.128 0.296
0.000 4.087 5.232
```

Below is a relaxed SiAg crystal, with properties calculated at the PBE level.

```
SiAg
1.0
7.609 0.000 0.000
0.000 11.153 0.000
0.000 0.000 7.537
Ag Si
16 16
Cartesian
1.902 2.788 7.027
5.707 8.365 7.027
0.000 0.000 6.163
3.805 5.577 1.375
1.902 2.788 4.278
1.902 8.365 3.259
5.707 2.788 0.510
1.902 8.365 0.510
3.805 5.577 6.163
0.000 0.000 1.375
0.000 5.577 5.143
0.000 5.577 2.394
5.707 2.788 3.259
3.805 0.000 2.394
3.805 0.000 5.143
5.707 8.365 4.278
1.902 7.163 5.653
3.805 9.951 0.000
5.707 9.567 1.884
0.000 6.779 0.000
1.902 9.567 5.653
1.902 3.990 1.884
0.000 9.951 3.769
3.805 6.779 3.769
0.000 4.375 0.000
3.805 1.202 0.000
5.707 7.163 1.884
1.902 1.586 1.884
5.707 3.990 5.653
3.805 4.375 3.769
0.000 1.202 3.769
5.707 1.586 5.653
```

Below is a relaxed SiAg4 crystal, with properties calculated at the PBE level.

```
SiAg4
1.0
-0.495 4.367 3.416
-5.380 0.450 -1.356
-1.401 -3.579 4.372
Si Ag
2 8
Cartesian
-3.638 0.619 3.216
0.000 0.000 0.000
-5.618 -0.880 2.594
-3.179 -1.765 4.048
-4.923 2.829 3.373
-2.106 0.974 5.237
-5.051 0.570 5.358
-4.441 1.291 0.873
-1.882 2.382 2.585
-1.906 -0.445 1.661
```

Below is a relaxed SiAg crystal, with properties calculated at the PBE level.

```
SiAg
1.0
3.959 0.000 0.000
-1.980 3.429 0.000
0.000 0.000 5.490
Ag Si
2 2
Cartesian
0.000 0.000 2.745
0.000 0.000 0.000
0.000 2.286 1.373
1.980 1.143 4.118
```

Below is a relaxed SiAg crystal, with properties calculated at the PBE level.

```
SiAg
1.0
3.163 0.000 0.000
-1.582 2.739 0.000
0.000 0.000 8.077
Si Ag
2 2
Cartesian
1.582 0.913 5.826
0.000 0.000 4.270
1.582 0.913 2.169
0.000 0.000 7.926
```

Below is a relaxed SiAg crystal, with properties calculated at the PBE level.

```
SiAg
1.0
10.408 0.000 0.000
0.000 3.224 0.000
0.000 0.000 6.336
Si Ag
6 6
Cartesian
4.020 1.612 0.756
0.000 1.612 2.272
9.224 0.000 3.924
6.388 1.612 0.756
5.204 0.000 5.439
1.184 0.000 3.924
8.292 0.000 1.429
5.204 0.000 2.874
0.000 1.612 6.042
2.116 0.000 1.429
7.320 1.612 4.597
3.088 1.612 4.597
```

E_form (uncorrected) / eV per atom: 0.375 1.529 0.224 0.400 0.099 0.451 0.339 0.326
Magnetization / μB/cell: 0.0 0.0 0.0 0.0 0.0 0.0 0.0 0.0